1.
Entry from Alexandria via LeMat-Bulk: an optimized crystal structure of BaY2ZnO5 (PBEsol).

Values from the calculation:
Uncorrected formation energy, kJ/mol of atoms: -283.0

Cell: 5.681 7.037 12.268 Å, 90.00 90.00 90.00°
Atoms (fractional coordinates):
O 0.498 0.835 0.565
O 0.998 0.165 0.435
Y 0.250 0.380 0.792
O 0.999 0.141 0.725
Y 0.750 0.880 0.708
Y 0.250 0.100 0.575
O 0.502 0.165 0.435
Y 0.250 0.400 0.075
O 0.750 0.576 0.399
Y 0.750 0.900 0.425
Y 0.750 0.620 0.208
O 0.998 0.335 0.935
O 0.001 0.859 0.275
Zn 0.750 0.309 0.349
O 0.501 0.141 0.725
O 0.499 0.859 0.275
Ba 0.250 0.577 0.399
Ba 0.250 0.923 0.899
Zn 0.250 0.691 0.651
O 0.501 0.359 0.225
Ba 0.750 0.423 0.601
Y 0.250 0.120 0.292
Ba 0.750 0.077 0.101
O 0.498 0.665 0.065
O 0.002 0.835 0.565
O 0.750 0.924 0.899
O 0.250 0.424 0.601
O 0.250 0.076 0.101
O 0.499 0.641 0.775
Y 0.750 0.600 0.925
O 0.002 0.665 0.065
Zn 0.750 0.191 0.849
O 0.001 0.641 0.775
O 0.999 0.359 0.225
O 0.502 0.335 0.935
Zn 0.250 0.809 0.151

***

2.
Entry from Alexandria via LeMat-Bulk: an optimized crystal structure of Ba2YZrO6 (PBEsol).

Values from the calculation:
Uncorrected formation energy, kJ/mol of atoms: -292.8

Cell: 6.066 6.066 6.066 Å, 60.00 60.00 60.00°
Last column: magnetic moment on the atom in μB.
Atoms (fractional coordinates):
Zr 0.500 0.500 0.500  -0.03
Ba 0.750 0.750 0.750  -0.01
O 0.742 0.258 0.258  0.14
O 0.742 0.742 0.258  0.14
O 0.258 0.742 0.258  0.14
O 0.258 0.258 0.742  0.14
O 0.742 0.258 0.742  0.14
Ba 0.250 0.250 0.250  -0.01
Y 0.000 0.000 0.000  -0.01
O 0.258 0.742 0.742  0.14

***

3.
Entry from Alexandria via LeMat-Bulk: an optimized crystal structure of Ba2ZnO3 (PBEsol).

Values from the calculation:
Uncorrected formation energy, kJ/mol of atoms: -213.9

Cell: 5.817 6.390 12.565 Å, 88.43 86.55 62.93°
Atoms (fractional coordinates):
Ba 0.438 0.590 0.653
Ba 0.655 0.207 0.925
Ba 0.972 0.590 0.847
O 0.488 0.658 0.867
O 0.869 0.803 0.035
O 0.131 0.197 0.965
O 0.405 0.190 0.750
Ba 0.562 0.410 0.347
Ba 0.345 0.793 0.075
O 0.146 0.342 0.367
Zn 0.274 0.996 0.837
O 0.512 0.342 0.133
O 0.328 0.803 0.465
Ba 0.028 0.410 0.153
Ba 0.863 0.793 0.425
O 0.672 0.197 0.535
O 0.005 0.990 0.750
Zn 0.731 0.996 0.663
O 0.595 0.810 0.250
O 0.854 0.658 0.633
Zn 0.269 0.004 0.337
Ba 0.137 0.207 0.575
Zn 0.726 0.004 0.163
O 0.995 0.010 0.250

***

4.
Entry from Alexandria via LeMat-Bulk: an optimized crystal structure of BaZnO2 (PBEsol).

Values from the calculation:
Uncorrected formation energy, kJ/mol of atoms: -187.5

Cell: 5.498 5.498 5.498 Å, 80.57 65.29 114.71°
Atoms (fractional coordinates):
Ba 0.500 0.250 0.250
O 0.085 0.460 0.125
O 0.915 0.790 0.625
Zn 0.000 0.500 0.500
O 0.585 0.125 0.790
O 0.415 0.625 0.460
Ba 0.000 0.000 0.000
Zn 0.500 0.750 0.750

***

5.
Entry from Alexandria via LeMat-Bulk: an optimized crystal structure of Ba2Zr7O16 (PBEsol).

Values from the calculation:
Uncorrected formation energy, kJ/mol of atoms: -327.4

Cell: 6.453 6.453 9.774 Å, 70.72 70.72 60.00°
Atoms (fractional coordinates):
O 0.234 0.234 0.297
O 0.415 0.150 0.588
Ba 0.334 0.334 0.999
O 0.153 0.585 0.412
O 0.960 0.686 0.135
Zr 0.748 0.115 0.650
O 0.569 0.569 0.294
O 0.781 0.040 0.865
Zr 0.487 0.748 0.650
Ba 0.666 0.666 0.001
O 0.585 0.850 0.412
Zr 0.000 0.000 0.000
O 0.219 0.960 0.135
Zr 0.115 0.487 0.650
O 0.847 0.415 0.588
O 0.431 0.431 0.706
O 0.040 0.314 0.865
O 0.766 0.766 0.703
O 0.150 0.847 0.588
Zr 0.252 0.885 0.350
O 0.686 0.219 0.135
Zr 0.885 0.513 0.350
O 0.314 0.781 0.865
O 0.850 0.153 0.412
Zr 0.513 0.252 0.350

***

6.
Entry from Alexandria via LeMat-Bulk: an optimized crystal structure of BaZrO3 (PBEsol).

Values from the calculation:
Uncorrected formation energy, kJ/mol of atoms: -321.0

Cell: 4.190 4.190 4.190 Å, 90.00 90.00 90.00°
Atoms (fractional coordinates):
Zr 0.500 0.500 0.500
O 0.000 0.500 0.500
O 0.500 0.500 0.000
O 0.500 0.000 0.500
Ba 0.000 0.000 0.000

***

7.
Entry from Alexandria via LeMat-Bulk: an optimized crystal structure of BaZrO3 (PBEsol).

Values from the calculation:
Uncorrected formation energy, kJ/mol of atoms: -321.0

Cell: 5.919 5.926 5.919 Å, 60.04 90.00 119.96°
Atoms (fractional coordinates):
O 0.250 0.500 0.750
O 0.765 0.000 0.265
O 0.750 0.500 0.250
O 0.735 0.000 0.765
Zr 0.500 0.000 0.500
Ba 0.750 0.500 0.750
Zr 0.000 0.000 0.000
Ba 0.250 0.500 0.250
O 0.265 0.000 0.235
O 0.235 0.000 0.735

***

8.
Entry from Alexandria via LeMat-Bulk: an optimized crystal structure of Ba3Zr2O7 (PBEsol).

Values from the calculation:
Uncorrected formation energy, kJ/mol of atoms: -309.4

Cell: 4.188 4.188 11.284 Å, 100.70 100.70 90.00°
Atoms (fractional coordinates):
Zr 0.903 0.903 0.805
Ba 0.314 0.314 0.629
O 0.404 0.904 0.808
Zr 0.097 0.097 0.195
O 0.596 0.096 0.192
Ba 0.500 0.500 0.000
Ba 0.686 0.686 0.371
O 0.000 0.000 0.000
O 0.904 0.404 0.808
O 0.807 0.807 0.614
O 0.193 0.193 0.386
O 0.096 0.596 0.192

***

9.
Entry from Alexandria via LeMat-Bulk: an optimized crystal structure of Ba6ZrO8 (PBEsol).

Values from the calculation:
Uncorrected formation energy, kJ/mol of atoms: -263.2

Cell: 7.600 7.600 7.600 Å, 60.00 60.00 60.00°
Atoms (fractional coordinates):
Ba 0.500 0.000 0.000
Ba 0.500 0.500 0.000
O 0.201 0.799 0.799
O 0.201 0.201 0.799
Ba 0.500 0.000 0.500
Ba 0.000 0.000 0.500
Ba 0.000 0.500 0.000
O 0.799 0.201 0.799
O 0.201 0.799 0.201
Ba 0.000 0.500 0.500
O 0.799 0.201 0.201
O 0.799 0.799 0.201
O 0.250 0.250 0.250
O 0.750 0.750 0.750
Zr 0.000 0.000 0.000

***

10.
Entry from Alexandria via LeMat-Bulk: an optimized crystal structure of BaOs3 (PBEsol).

Values from the calculation:
ΔE_f, eV per atom: 0.874
Energy above the most stable polymorph in this dataset, eV per formula unit: 0.00

Cell: 2.889 2.889 8.746 Å, 90.00 90.00 90.00°
Atoms (fractional coordinates):
Os 0.500 0.500 0.307
Ba 0.000 0.000 0.000
Os 0.500 0.500 0.693
Os 0.000 0.000 0.500

***

11.
Entry from Alexandria via LeMat-Bulk: an optimized crystal structure of Ba5Os (PBEsol).

Values from the calculation:
ΔE_f, eV per atom: 0.446

Cell: 3.873 3.873 17.393 Å, 90.00 90.00 90.00°
Atoms (fractional coordinates):
Ba 0.500 0.500 0.695
Ba 0.000 0.000 0.500
Os 0.500 0.500 0.000
Ba 0.000 0.000 0.101
Ba 0.500 0.500 0.305
Ba 0.000 0.000 0.899

***

12.
Entry from Alexandria via LeMat-Bulk: an optimized crystal structure of BaOs3 (PBEsol).

Values from the calculation:
ΔE_f, eV per atom: 1.290
Energy above the most stable polymorph in this dataset, eV per formula unit: 1.66

Cell: 2.847 5.133 5.875 Å, 115.90 104.02 90.00°
Atoms (fractional coordinates):
Os 0.500 0.000 0.000
Ba 0.000 0.500 0.000
Os 0.785 0.785 0.571
Os 0.215 0.215 0.429

***

What did the seventh record say?
Entry from Alexandria via LeMat-Bulk: an optimized crystal structure of BaZrO3 (PBEsol).

Values from the calculation:
Uncorrected formation energy, kJ/mol of atoms: -321.0

Cell: 5.919 5.926 5.919 Å, 60.04 90.00 119.96°
Atoms (fractional coordinates):
O 0.250 0.500 0.750
O 0.765 0.000 0.265
O 0.750 0.500 0.250
O 0.735 0.000 0.765
Zr 0.500 0.000 0.500
Ba 0.750 0.500 0.750
Zr 0.000 0.000 0.000
Ba 0.250 0.500 0.250
O 0.265 0.000 0.235
O 0.235 0.000 0.735